Entry from the Alexandria database: a relaxed structure of HoThFe (PBE-GGA).

Lattice parameters (Å, degrees): 6.694 6.694 6.694 150.48 150.48 42.24
Element x y z (fractional)
Ho1 0.000 0.000 0.000
Th1 0.265 0.265 0.000
Fe1 0.640 0.640 0.000

Calculated values
Crystal system: tetragonal
Raw total energy (eV/atom): -6.749
E above lowest polymorph (kJ per mole of atoms): 9.3
Formation energy from the elements (eV/f.u.): 0.21

Entry from the Alexandria database: a relaxed structure of HoThFe (PBE-GGA).

Lattice parameters (Å, degrees): 3.854 3.854 6.110 90.00 90.00 120.00
Element x y z (fractional)
Ho1 0.000 0.000 0.000
Th1 0.667 0.333 0.519
Fe1 0.333 0.667 0.737

Calculated values
Crystal system: trigonal
Raw total energy (eV/atom): -6.733
E above lowest polymorph (kJ per mole of atoms): 10.8
Formation energy from the elements (eV/f.u.): 0.26

Entry from the Alexandria database: a relaxed structure of Ho2ThFe9 (PBE-GGA).

Lattice parameters (Å, degrees): 8.703 8.703 8.703 34.02 34.02 34.02
Element x y z (fractional)
Ho1 0.142 0.142 0.142
Ho2 0.858 0.858 0.858
Th1 0.000 0.000 0.000
Fe1 0.084 0.583 0.583
Fe2 0.332 0.332 0.332
Fe3 0.417 0.417 0.916
Fe4 0.417 0.916 0.417
Fe5 0.500 0.500 0.500
Fe6 0.583 0.084 0.583
Fe7 0.583 0.583 0.084
Fe8 0.668 0.668 0.668
Fe9 0.916 0.417 0.417

Calculated values
Crystal system: trigonal
Raw total energy (eV/atom): -7.816
Formation energy from the elements (eV/f.u.): -1.05

Entry from the Alexandria database: a relaxed structure of Ho3Th2Fe2 (PBE-GGA).

Lattice parameters (Å, degrees): 3.676 6.216 8.712 102.31 102.14 107.16
Element x y z (fractional)
Ho1 0.000 0.000 0.000
Ho2 0.294 0.174 0.414
Ho3 0.706 0.826 0.586
Th1 0.130 0.459 0.800
Th2 0.870 0.541 0.200
Fe1 0.466 0.163 0.769
Fe2 0.534 0.837 0.231

Calculated values
Crystal system: triclinic
Raw total energy (eV/atom): -6.554
Formation energy from the elements (eV/f.u.): -0.38

Entry from the Alexandria database: a relaxed structure of HoTh4Fe2 (PBE-GGA).

Lattice parameters (Å, degrees): 7.075 6.771 8.343 90.00 113.20 90.00
Element x y z (fractional)
Ho1 0.001 0.250 0.272
Ho2 0.999 0.750 0.728
Th1 0.227 0.250 0.715
Th2 0.301 0.501 0.104
Th3 0.301 0.999 0.104
Th4 0.334 0.750 0.503
Th5 0.666 0.250 0.497
Th6 0.699 0.001 0.896
Th7 0.699 0.499 0.896
Th8 0.773 0.750 0.285
Fe1 0.026 0.750 0.141
Fe2 0.408 0.750 0.865
Fe3 0.592 0.250 0.135
Fe4 0.974 0.250 0.859

Calculated values
Crystal system: monoclinic
Raw total energy (eV/atom): -7.321
Formation energy from the elements (eV/f.u.): -0.06

Entry from the Alexandria database: a relaxed structure of HoThZnFe (PBE-GGA).

Lattice parameters (Å, degrees): 4.973 4.973 4.973 60.00 60.00 60.00
Element x y z (fractional)
Ho1 0.000 0.000 0.000
Th1 0.500 0.500 0.500
Zn1 0.750 0.750 0.750
Fe1 0.250 0.250 0.250

Calculated values
Crystal system: cubic
Raw total energy (eV/atom): -5.475
Formation energy from the elements (eV/f.u.): -0.17

Entry from the Alexandria database: a relaxed structure of HoTi2Fe9 (PBE-GGA).

Lattice parameters (Å, degrees): 8.315 8.315 8.315 34.10 34.10 34.10
Element x y z (fractional)
Ho1 0.000 0.000 0.000
Ti1 0.145 0.145 0.145
Ti2 0.855 0.855 0.855
Fe1 0.083 0.589 0.589
Fe2 0.333 0.333 0.333
Fe3 0.411 0.411 0.917
Fe4 0.411 0.917 0.411
Fe5 0.500 0.500 0.500
Fe6 0.589 0.083 0.589
Fe7 0.589 0.589 0.083
Fe8 0.667 0.667 0.667
Fe9 0.917 0.411 0.411

Calculated values
Crystal system: trigonal
Raw total energy (eV/atom): -8.227
Formation energy from the elements (eV/f.u.): -2.19

Entry from the Alexandria database: a relaxed structure of Ho8Tl2Fe (PBE-GGA).

Lattice parameters (Å, degrees): 9.011 9.011 6.862 111.61 111.61 35.45
Element x y z (fractional)
Ho1 0.009 0.009 0.271
Ho2 0.195 0.195 0.743
Ho3 0.365 0.365 0.593
Ho4 0.398 0.398 0.105
Ho5 0.602 0.602 0.895
Ho6 0.635 0.635 0.407
Ho7 0.805 0.805 0.257
Ho8 0.991 0.991 0.729
Tl1 0.183 0.183 0.193
Tl2 0.817 0.817 0.807
Fe1 0.500 0.500 0.500

Calculated values
Crystal system: monoclinic
Raw total energy (eV/atom): -4.642
Formation energy from the elements (eV/f.u.): -1.24

Entry from the Alexandria database: a relaxed structure of Ho6TlFe2 (PBE-GGA).

Lattice parameters (Å, degrees): 8.388 8.388 8.388 111.53 109.87 107.04
Element x y z (fractional)
Ho1 0.012 0.228 0.784
Ho2 0.189 0.291 0.480
Ho3 0.189 0.709 0.898
Ho4 0.312 0.014 0.702
Ho5 0.312 0.610 0.298
Ho6 0.445 0.228 0.216
Ho7 0.555 0.772 0.784
Ho8 0.688 0.390 0.702
Ho9 0.688 0.986 0.298
Ho10 0.811 0.291 0.102
Ho11 0.811 0.709 0.520
Ho12 0.988 0.772 0.216
Tl1 0.000 0.000 0.000
Tl2 0.500 0.500 0.000
Fe1 0.109 0.609 0.500
Fe2 0.387 0.000 0.387
Fe3 0.613 0.000 0.613
Fe4 0.891 0.391 0.500

Calculated values
Crystal system: orthorhombic
Raw total energy (eV/atom): -5.338
Formation energy from the elements (eV/f.u.): -1.29

Entry from the Alexandria database: a relaxed structure of Ho5TlFe2 (PBE-GGA).

Lattice parameters (Å, degrees): 8.924 8.924 8.924 131.23 131.23 71.44
Element x y z (fractional)
Ho1 0.000 0.000 0.000
Ho2 0.045 0.545 0.852
Ho3 0.193 0.045 0.500
Ho4 0.307 0.807 0.852
Ho5 0.455 0.307 0.500
Ho6 0.500 0.500 0.000
Ho7 0.545 0.693 0.500
Ho8 0.693 0.193 0.148
Ho9 0.807 0.955 0.500
Ho10 0.955 0.455 0.148
Tl1 0.250 0.250 0.000
Tl2 0.750 0.750 0.000
Fe1 0.107 0.393 0.500
Fe2 0.393 0.893 0.287
Fe3 0.607 0.107 0.713
Fe4 0.893 0.607 0.500

Calculated values
Crystal system: tetragonal
Raw total energy (eV/atom): -5.394
Formation energy from the elements (eV/f.u.): -0.97

Entry from the Alexandria database: a relaxed structure of Ho4TlFe (PBE-GGA).

Lattice parameters (Å, degrees): 7.710 7.710 6.032 99.33 99.33 111.29
Element x y z (fractional)
Ho1 0.056 0.731 0.955
Ho2 0.198 0.353 0.607
Ho3 0.269 0.944 0.545
Ho4 0.353 0.198 0.107
Ho5 0.647 0.802 0.893
Ho6 0.731 0.056 0.455
Ho7 0.802 0.647 0.393
Ho8 0.944 0.269 0.045
Tl1 0.374 0.626 0.250
Tl2 0.626 0.374 0.750
Fe1 0.001 0.999 0.750
Fe2 0.999 0.001 0.250

Calculated values
Crystal system: monoclinic
Raw total energy (eV/atom): -5.019
Formation energy from the elements (eV/f.u.): -0.97

Entry from the Alexandria database: a relaxed structure of HoTm2Fe (PBE-GGA).

Lattice parameters (Å, degrees): 6.998 9.007 6.176 90.00 90.00 90.00
Element x y z (fractional)
Ho1 0.047 0.250 0.135
Ho2 0.453 0.750 0.635
Ho3 0.547 0.250 0.365
Ho4 0.953 0.750 0.865
Tm1 0.174 0.066 0.672
Tm2 0.174 0.434 0.672
Tm3 0.326 0.566 0.172
Tm4 0.326 0.934 0.172
Tm5 0.674 0.066 0.828
Tm6 0.674 0.434 0.828
Tm7 0.826 0.566 0.328
Tm8 0.826 0.934 0.328
Fe1 0.112 0.750 0.465
Fe2 0.388 0.250 0.965
Fe3 0.612 0.750 0.035
Fe4 0.888 0.250 0.535

Calculated values
Crystal system: orthorhombic
Raw total energy (eV/atom): -5.538
E above lowest polymorph (kJ per mole of atoms): 0.0
Formation energy from the elements (eV/f.u.): -0.17

Entry from the Alexandria database: a relaxed structure of HoTm2Fe (PBE-GGA).

Lattice parameters (Å, degrees): 6.171 6.171 8.955 90.00 90.00 144.93
Element x y z (fractional)
Ho1 0.080 0.920 0.750
Ho2 0.920 0.080 0.250
Tm1 0.356 0.644 0.569
Tm2 0.356 0.644 0.931
Tm3 0.644 0.356 0.069
Tm4 0.644 0.356 0.431
Fe1 0.258 0.742 0.250
Fe2 0.742 0.258 0.750

Calculated values
Crystal system: orthorhombic
Raw total energy (eV/atom): -5.526
E above lowest polymorph (kJ per mole of atoms): 1.2
Formation energy from the elements (eV/f.u.): -0.12

Entry from the Alexandria database: a relaxed structure of HoTmFe10 (PBE-GGA).

Lattice parameters (Å, degrees): 3.945 4.971 8.575 90.00 90.00 90.00
Element x y z (fractional)
Ho1 0.000 0.000 0.000
Tm1 0.000 0.500 0.500
Fe1 0.000 0.000 0.335
Fe2 0.000 0.000 0.665
Fe3 0.000 0.500 0.167
Fe4 0.000 0.500 0.833
Fe5 0.500 0.000 0.500
Fe6 0.500 0.251 0.251
Fe7 0.500 0.251 0.749
Fe8 0.500 0.500 0.000
Fe9 0.500 0.749 0.251
Fe10 0.500 0.749 0.749

Calculated values
Crystal system: orthorhombic
Raw total energy (eV/atom): -7.870
Formation energy from the elements (eV/f.u.): -0.77

Entry from the Alexandria database: a relaxed structure of HoTm2Fe (PBE-GGA).

Lattice parameters (Å, degrees): 9.938 9.938 9.938 20.15 20.15 20.15
Element x y z (fractional)
Ho1 0.000 0.000 0.000
Tm1 0.230 0.230 0.230
Tm2 0.770 0.770 0.770
Fe1 0.500 0.500 0.500

Calculated values
Crystal system: trigonal
Raw total energy (eV/atom): -5.307
E above lowest polymorph (kJ per mole of atoms): 22.3
Formation energy from the elements (eV/f.u.): 0.76

Entry from the Alexandria database: a relaxed structure of HoTm3Fe (PBE-GGA).

Lattice parameters (Å, degrees): 5.185 5.185 5.185 90.00 90.00 90.00
Element x y z (fractional)
Ho1 0.000 0.000 0.000
Tm1 0.000 0.500 0.500
Tm2 0.500 0.000 0.500
Tm3 0.500 0.500 0.000
Fe1 0.500 0.500 0.500

Calculated values
Crystal system: cubic
Raw total energy (eV/atom): -5.200
E above lowest polymorph (kJ per mole of atoms): 8.0
Formation energy from the elements (eV/f.u.): 0.45

Entry from the Alexandria database: a relaxed structure of Ho3TmFe8 (PBE-GGA).

Lattice parameters (Å, degrees): 8.826 8.826 8.826 33.64 33.64 33.64
Element x y z (fractional)
Ho1 0.000 0.000 0.000
Ho2 0.125 0.125 0.125
Ho3 0.500 0.500 0.500
Tm1 0.625 0.625 0.625
Fe1 0.062 0.563 0.563
Fe2 0.063 0.063 0.563
Fe3 0.063 0.563 0.063
Fe4 0.312 0.312 0.312
Fe5 0.563 0.062 0.563
Fe6 0.563 0.063 0.063
Fe7 0.563 0.563 0.062
Fe8 0.813 0.813 0.813

Calculated values
Crystal system: trigonal
Raw total energy (eV/atom): -7.270
Formation energy from the elements (eV/f.u.): -1.34

Entry from the Alexandria database: a relaxed structure of Ho2Tm5Fe2 (PBE-GGA).

Lattice parameters (Å, degrees): 10.376 10.376 6.885 90.00 90.00 39.04
Element x y z (fractional)
Ho1 0.233 0.233 0.000
Ho2 0.267 0.267 0.500
Ho3 0.733 0.733 0.500
Ho4 0.767 0.767 0.000
Tm1 0.000 0.000 0.000
Tm2 0.074 0.711 0.679
Tm3 0.211 0.574 0.179
Tm4 0.289 0.926 0.679
Tm5 0.426 0.789 0.179
Tm6 0.500 0.500 0.500
Tm7 0.574 0.211 0.821
Tm8 0.711 0.074 0.321
Tm9 0.789 0.426 0.821
Tm10 0.926 0.289 0.321
Fe1 0.111 0.889 0.393
Fe2 0.389 0.611 0.893
Fe3 0.611 0.389 0.107
Fe4 0.889 0.111 0.607

Calculated values
Crystal system: orthorhombic
Raw total energy (eV/atom): -5.356
Formation energy from the elements (eV/f.u.): 0.24

Entry from the Alexandria database: a relaxed structure of Ho2Tm3Fe2 (PBE-GGA).

Lattice parameters (Å, degrees): 6.338 6.338 9.882 123.93 123.93 32.27
Element x y z (fractional)
Ho1 0.235 0.235 0.138
Ho2 0.765 0.765 0.862
Tm1 0.000 0.000 0.500
Tm2 0.458 0.458 0.786
Tm3 0.542 0.542 0.214
Fe1 0.264 0.264 0.439
Fe2 0.736 0.736 0.561

Calculated values
Crystal system: monoclinic
Raw total energy (eV/atom): -5.601
Formation energy from the elements (eV/f.u.): 0.29

Entry from the Alexandria database: a relaxed structure of Ho2TmFe9 (PBE-GGA).

Lattice parameters (Å, degrees): 8.562 8.562 8.562 34.38 34.38 34.38
Element x y z (fractional)
Ho1 0.142 0.142 0.142
Ho2 0.858 0.858 0.858
Tm1 0.000 0.000 0.000
Fe1 0.081 0.581 0.581
Fe2 0.333 0.333 0.333
Fe3 0.419 0.419 0.919
Fe4 0.419 0.919 0.419
Fe5 0.500 0.500 0.500
Fe6 0.581 0.081 0.581
Fe7 0.581 0.581 0.081
Fe8 0.667 0.667 0.667
Fe9 0.919 0.419 0.419

Calculated values
Crystal system: trigonal
Raw total energy (eV/atom): -7.575
Formation energy from the elements (eV/f.u.): -1.10